An optimized crystal structure of ReRu2Rh. Source: the Alexandria database, functional PBE-GGA.

The structure in CIF format:
```
data_ReRu2Rh
_chemical_formula_sum 'Re4 Ru8 Rh4'
_cell_length_a 6.1611
_cell_length_b 6.1611
_cell_length_c 6.1611
_cell_angle_alpha 90.00
_cell_angle_beta 90.00
_cell_angle_gamma 90.00
_symmetry_space_group_name_H-M 'F -4 3 m'
_symmetry_Int_Tables_number 216
_symmetry_space_group_name_Hall 'F -4 2 3'
loop_
_atom_site_label
_atom_site_fract_x
_atom_site_fract_y
_atom_site_fract_z
Re1 0.0000 0.0000 0.0000
Ru1 0.0000 0.0000 0.5000
Ru2 0.2500 0.2500 0.7500
Rh1 0.2500 0.2500 0.2500
```

Calculated values
The excess energy over the best structure of this formula in the dataset is 570 meV per atom. The uncorrected energy is -9.104 eV/atom. The formation energy is 0.484 eV per atom. For the density, the calculation gives 13.95 g/cm³.